(1)
# Ho2RhO

An optimized crystal structure of Ho2RhO (PBE-GGA, Alexandria).

Cell lengths 3.4770, 3.4770, 7.1424 Å; angles 75.91, 75.91, 60.00 degrees
With the nearest neighbours (Å) after each atom.
Sites, in units of the cell vectors:
Ho 0.2385 0.2385 0.2844  3 O 2.49
O 0.5000 0.5000 0.5000  6 Ho 2.49
Rh 0.0000 0.0000 0.0000  6 Ho 2.80
Ho 0.7615 0.7615 0.7156  3 O 2.49

Results
M_tot: 0.00 μB per formula unit
crystal system: trigonal
symmetry: No. 166
ρ: 10.384 Mg/m³
offset from the most stable computed form: 0.0 meV/atom
volume: 17.94 A^3/atom
E: -7.050 eV/atom

***

(2)
# Ho2Rh2O7

An optimized crystal structure of Ho2Rh2O7 (PBE-GGA, Alexandria).

Cell lengths 5.2766, 4.9255, 5.2766 Å; angles 88.08, 99.38, 91.92 degrees
With the nearest neighbours (Å) after each atom.
Sites, in units of the cell vectors:
O 0.4829 0.7534 0.9604  2 Rh 2.03-2.19
Ho 0.7456 0.5000 0.7456  4 O 2.13-2.34
O 0.5426 0.7589 0.4574  1 Rh 1.94, 2 Ho 2.13
O 0.0000 0.0000 0.0000  2 Rh 2.00
O 0.5171 0.2466 0.0396  2 Rh 2.03-2.19
Ho 0.2544 0.5000 0.2544  4 O 2.13-2.34
O 0.4574 0.2411 0.5426  1 Rh 1.94, 2 Ho 2.13
Rh 0.2489 0.0270 0.7511  4 O 1.94-2.03
O 0.0396 0.7534 0.5171  2 Rh 2.03-2.19
Rh 0.7511 0.9730 0.2489  4 O 1.94-2.03
O 0.9604 0.2466 0.4829  2 Rh 2.03-2.19

Results
M_tot: 0.00 μB per formula unit
crystal system: monoclinic
symmetry: No. 12
ρ: 7.956 Mg/m³
offset from the most stable computed form: 387.9 meV/atom
volume: 12.29 A^3/atom
E: -7.016 eV/atom

***

(3)
# Ho3RhO6

An optimized crystal structure of Ho3RhO6 (PBE-GGA, Alexandria).

Cell lengths 6.5240, 6.5240, 6.5240 Å; angles 93.17, 93.17, 93.17 degrees
With the nearest neighbours (Å) after each atom.
Sites, in units of the cell vectors:
O 0.6935 0.0831 0.9317  1 Rh 2.13, 3 Ho 2.22-2.32
Ho 0.5669 0.0783 0.2570  6 O 2.22-2.32
Rh 0.0000 0.0000 0.0000  6 O 2.13
Ho 0.0783 0.2570 0.5669  6 O 2.22-2.32
O 0.5885 0.8062 0.4582  1 Rh 2.09, 3 Ho 2.25-2.28
O 0.9317 0.6935 0.0831  1 Rh 2.13, 3 Ho 2.22-2.32
O 0.0831 0.9317 0.6935  1 Rh 2.13, 3 Ho 2.22-2.32
O 0.1938 0.5418 0.4115  1 Rh 2.09, 3 Ho 2.25-2.28
O 0.0683 0.3065 0.9169  1 Rh 2.13, 3 Ho 2.22-2.32
O 0.5418 0.4115 0.1938  1 Rh 2.09, 3 Ho 2.25-2.28
Rh 0.5000 0.5000 0.5000  6 O 2.09
O 0.4582 0.5885 0.8062  1 Rh 2.09, 3 Ho 2.25-2.28
O 0.4115 0.1938 0.5418  1 Rh 2.09, 3 Ho 2.25-2.28
O 0.9169 0.0683 0.3065  1 Rh 2.13, 3 Ho 2.22-2.32
Ho 0.7430 0.4331 0.9217  6 O 2.22-2.32
Ho 0.4331 0.9217 0.7430  6 O 2.22-2.32
Ho 0.9217 0.7430 0.4331  6 O 2.22-2.32
Ho 0.2570 0.5669 0.0783  6 O 2.22-2.32
O 0.3065 0.9169 0.0683  1 Rh 2.13, 3 Ho 2.22-2.32
O 0.8062 0.4582 0.5885  1 Rh 2.09, 3 Ho 2.25-2.28

Results
M_tot: 0.00 μB per formula unit
crystal system: trigonal
symmetry: No. 148
ρ: 8.336 Mg/m³
volume: 13.82 A^3/atom
E: -7.958 eV/atom

***

(4)
# HoRhO

An optimized crystal structure of HoRhO (PBE-GGA, Alexandria).

Cell lengths 5.3163, 3.7480, 6.4181 Å; angles 106.98, 114.47, 90.00 degrees
With the nearest neighbours (Å) after each atom.
Sites, in units of the cell vectors:
Rh 0.7676 0.5000 0.0000  2 O 2.18
O 0.1625 0.6625 0.3251  1 Ho 2.12, 2 Rh 2.18
Ho 0.6455 0.1455 0.2911  1 O 2.12
O 0.8375 0.3375 0.6749  1 Ho 2.12, 2 Rh 2.18
Ho 0.3545 0.8545 0.7089  1 O 2.12
Rh 0.2324 0.5000 0.0000  2 O 2.18

Results
M_tot: 0.00 μB per formula unit
crystal system: orthorhombic
symmetry: No. 71
ρ: 8.550 Mg/m³
volume: 18.37 A^3/atom
E: -6.742 eV/atom

***

(5)
# HoRhO3

An optimized crystal structure of HoRhO3 (PBE-GGA, Alexandria).

Cell lengths 5.5737, 5.7022, 9.2416 Å; angles 107.92, 90.00, 119.26 degrees
With the nearest neighbours (Å) after each atom.
Sites, in units of the cell vectors:
Rh 0.7748 0.0000 0.7500  6 O 2.03-2.12
O 0.8103 0.7038 0.1870  2 Rh 2.03, 1 Ho 2.26
O 0.3412 0.1292 0.0579  2 Rh 2.10-2.11, 1 Ho 2.24
Rh 0.5000 0.5000 0.0000  6 O 2.03-2.10
Ho 0.8224 0.2916 0.1358  6 O 2.24-2.39
Rh 0.0000 0.5000 0.5000  6 O 2.03-2.10
O 0.7328 0.3583 0.8643  2 Rh 2.08-2.12, 1 Ho 2.30
O 0.2121 0.8708 0.4421  2 Rh 2.10-2.11, 1 Ho 2.24
O 0.6255 0.3583 0.3643  2 Rh 2.08-2.12, 1 Ho 2.30
Ho 0.5309 0.7084 0.3642  6 O 2.24-2.39
O 0.1065 0.2962 0.3130  2 Rh 2.03, 1 Ho 2.26
O 0.2672 0.6417 0.1357  2 Rh 2.08-2.12, 1 Ho 2.30
Ho 0.4691 0.2916 0.6358  6 O 2.24-2.39
O 0.7879 0.1292 0.5579  2 Rh 2.10-2.11, 1 Ho 2.24
Ho 0.1776 0.7084 0.8642  6 O 2.24-2.39
O 0.6588 0.8708 0.9421  2 Rh 2.10-2.11, 1 Ho 2.24
Rh 0.2252 0.0000 0.2500  6 O 2.03-2.12
O 0.8935 0.7038 0.6870  2 Rh 2.03, 1 Ho 2.26
O 0.3745 0.6417 0.6357  2 Rh 2.08-2.12, 1 Ho 2.30
O 0.1897 0.2962 0.8130  2 Rh 2.03, 1 Ho 2.26

Results
M_tot: 0.00 μB per formula unit
crystal system: monoclinic
symmetry: No. 15
ρ: 8.749 Mg/m³
volume: 11.99 A^3/atom
E: -7.453 eV/atom

***

(6)
# HoRhO3

An optimized crystal structure of HoRhO3 (PBE-GGA, Alexandria).

Cell lengths 5.2602, 5.7985, 7.6355 Å; angles 90.00, 90.00, 90.00 degrees
With the nearest neighbours (Å) after each atom.
Sites, in units of the cell vectors:
O 0.3616 0.4451 0.7500  2 Rh 2.07, 2 Ho 2.22-2.27
O 0.6758 0.8106 0.5644  2 Rh 2.08-2.09, 1 Ho 2.26
Rh 0.0000 0.0000 0.5000  6 O 2.07-2.09
O 0.1384 0.9451 0.7500  2 Rh 2.07, 2 Ho 2.22-2.27
Ho 0.0318 0.4143 0.2500  6 O 2.22-2.46
Ho 0.9682 0.5857 0.7500  6 O 2.22-2.46
O 0.1758 0.6894 0.4356  2 Rh 2.08-2.09, 1 Ho 2.26
O 0.6758 0.8106 0.9356  2 Rh 2.08-2.09, 1 Ho 2.26
Ho 0.4682 0.9143 0.2500  6 O 2.22-2.46
Rh 0.5000 0.5000 0.0000  6 O 2.07-2.09
O 0.1758 0.6894 0.0644  2 Rh 2.08-2.09, 1 Ho 2.26
O 0.8242 0.3106 0.5644  2 Rh 2.08-2.09, 1 Ho 2.26
O 0.6384 0.5549 0.2500  2 Rh 2.07, 2 Ho 2.22-2.27
Ho 0.5318 0.0857 0.7500  6 O 2.22-2.46
O 0.3242 0.1894 0.0644  2 Rh 2.08-2.09, 1 Ho 2.26
O 0.3242 0.1894 0.4356  2 Rh 2.08-2.09, 1 Ho 2.26
O 0.8616 0.0549 0.2500  2 Rh 2.07, 2 Ho 2.22-2.27
Rh 0.0000 0.0000 0.0000  6 O 2.07-2.09
O 0.8242 0.3106 0.9356  2 Rh 2.08-2.09, 1 Ho 2.26
Rh 0.5000 0.5000 0.5000  6 O 2.07-2.09

Results
M_tot: 0.00 μB per formula unit
crystal system: orthorhombic
symmetry: No. 62
ρ: 9.008 Mg/m³
volume: 11.64 A^3/atom
E: -7.533 eV/atom

***

(7)
# Ho12Rh3O5

An optimized crystal structure of Ho12Rh3O5 (PBE-GGA, Alexandria).

Cell lengths 13.0389, 13.0389, 13.0389 Å; angles 109.47, 109.47, 109.47 degrees
With the nearest neighbours (Å) after each atom.
Sites, in units of the cell vectors:
O 0.5000 0.5000 0.5000  6 Ho 2.48
Ho 0.3817 0.4044 0.0890  1 O 2.20
Ho 0.1846 0.0890 0.7072  1 O 2.20
O 0.1250 0.3750 0.2500  4 Ho 2.20
Rh 0.6250 0.3750 0.7500  8 Ho 2.93-2.99
Ho 0.6183 0.5956 0.9110  1 O 2.20
Ho 0.3817 0.9774 0.7928  1 O 2.20
Rh 0.7500 0.3750 0.1250  8 Ho 2.93-2.99
O 0.0000 0.0000 0.5000  6 Ho 2.48
Ho 0.2928 0.4110 0.8154  1 O 2.20
Ho 0.5226 0.3154 0.9044  1 O 2.20
O 0.2500 0.8750 0.1250  4 Ho 2.20
Ho 0.2072 0.6846 0.0890  1 O 2.20
Ho 0.5890 0.7072 0.6846  1 O 2.20
Ho 0.1183 0.4110 0.0956  1 O 2.20
Ho 0.3154 0.7928 0.4110  1 O 2.20
O 0.7500 0.6250 0.3750  4 Ho 2.20
Ho 0.9044 0.0890 0.8817  1 O 2.20
Rh 0.8750 0.1250 0.2500  8 Ho 2.93-2.99
Ho 0.5956 0.6183 0.4110  1 O 2.20
Ho 0.2928 0.8817 0.9774  1 O 2.20
Ho 0.0890 0.1846 0.2072  1 O 2.20
Ho 0.4110 0.1183 0.5956  1 O 2.20
Ho 0.6846 0.2072 0.5890  1 O 2.20
O 0.7500 0.1250 0.8750  4 Ho 2.20
Rh 0.6250 0.2500 0.3750  8 Ho 2.93-2.99
Ho 0.7072 0.5890 0.1846  1 O 2.20
Ho 0.4110 0.2928 0.3154  1 O 2.20
O 0.0000 0.0000 0.0000  6 Ho 2.48
Rh 0.1250 0.2500 0.8750  8 Ho 2.93-2.99
Ho 0.0956 0.9110 0.1183  1 O 2.20
Ho 0.6846 0.4774 0.5956  1 O 2.20
O 0.5000 0.0000 0.0000  6 Ho 2.48
Ho 0.4774 0.7928 0.8817  1 O 2.20
Ho 0.5890 0.8817 0.4044  1 O 2.20
Ho 0.8817 0.5890 0.9044  1 O 2.20
Ho 0.3154 0.5226 0.4044  1 O 2.20
Ho 0.0890 0.9044 0.3817  1 O 2.20
Ho 0.1183 0.7072 0.5226  1 O 2.20
O 0.3750 0.2500 0.1250  4 Ho 2.20
O 0.3750 0.1250 0.7500  4 Ho 2.20
Rh 0.2500 0.1250 0.3750  8 Ho 2.93-2.99
Ho 0.1846 0.0956 0.9774  1 O 2.20
O 0.0000 0.5000 0.5000  6 Ho 2.48
Ho 0.9774 0.5956 0.1846  1 O 2.20
O 0.5000 0.5000 0.0000  6 Ho 2.48
Ho 0.4044 0.3817 0.5890  1 O 2.20
O 0.8750 0.6250 0.7500  4 Ho 2.20
Rh 0.1250 0.8750 0.7500  8 Ho 2.93-2.99
Ho 0.0226 0.4044 0.8154  1 O 2.20
Rh 0.7500 0.8750 0.6250  8 Ho 2.93-2.99
Ho 0.5956 0.9774 0.6846  1 O 2.20
O 0.0000 0.5000 0.0000  6 Ho 2.48
Ho 0.8817 0.2928 0.4774  1 O 2.20
Ho 0.4774 0.6846 0.0956  1 O 2.20
Ho 0.7928 0.3154 0.9110  1 O 2.20
Ho 0.0226 0.6183 0.7072  1 O 2.20
Rh 0.3750 0.6250 0.2500  8 Ho 2.93-2.99
O 0.2500 0.3750 0.6250  4 Ho 2.20
Ho 0.2072 0.5226 0.6183  1 O 2.20
O 0.8750 0.2500 0.6250  4 Ho 2.20
O 0.5000 0.0000 0.5000  6 Ho 2.48
Ho 0.7072 0.1183 0.0226  1 O 2.20
Ho 0.4044 0.0226 0.3154  1 O 2.20
Ho 0.9110 0.0956 0.6183  1 O 2.20
Rh 0.2500 0.6250 0.8750  8 Ho 2.93-2.99
Ho 0.0956 0.1846 0.4774  1 O 2.20
Ho 0.6183 0.0226 0.2072  1 O 2.20
Ho 0.8154 0.9110 0.2928  1 O 2.20
O 0.1250 0.7500 0.3750  4 Ho 2.20
Ho 0.8154 0.9044 0.0226  1 O 2.20
Rh 0.8750 0.7500 0.1250  8 Ho 2.93-2.99
Ho 0.5226 0.2072 0.1183  1 O 2.20
Ho 0.9774 0.3817 0.2928  1 O 2.20
O 0.6250 0.7500 0.8750  4 Ho 2.20
Ho 0.7928 0.4774 0.3817  1 O 2.20
O 0.6250 0.8750 0.2500  4 Ho 2.20
Ho 0.9110 0.8154 0.7928  1 O 2.20
Rh 0.3750 0.7500 0.6250  8 Ho 2.93-2.99
Ho 0.9044 0.8154 0.5226  1 O 2.20

Results
M_tot: 0.00 μB per formula unit
crystal system: cubic
symmetry: No. 230
ρ: 9.216 Mg/m³
volume: 21.33 A^3/atom
E: -6.760 eV/atom

***

(8)
# Ho2RhO

An optimized crystal structure of Ho2RhO (PBE-GGA, Alexandria).

Cell lengths 3.1347, 3.1347, 6.8875 Å; angles 90.00, 90.00, 90.00 degrees
With the nearest neighbours (Å) after each atom.
Sites, in units of the cell vectors:
Ho 0.0000 0.0000 0.7687  4 O 2.73, 4 Rh 2.89
Rh 0.5000 0.5000 0.5000  8 Ho 2.89, 4 Rh 3.13
O 0.5000 0.5000 0.0000  8 Ho 2.73
Ho 0.0000 0.0000 0.2313  4 O 2.73, 4 Rh 2.89

Results
M_tot: 0.00 μB per formula unit
crystal system: tetragonal
symmetry: No. 123
ρ: 11.011 Mg/m³
offset from the most stable computed form: 308.0 meV/atom
volume: 16.92 A^3/atom
E: -6.742 eV/atom